Record 1
# LiCr3I

A geometry-optimized LiCr3I structure (PBE, Alexandria).

Lattice parameters (Å, degrees): 4.827 4.827 4.827 90.00 90.00 90.00
Each line ends with the local moment (μB).
Element x y z (fractional)
1 I 0.500 0.500 0.500  -0.01
2 Cr 0.000 0.500 0.000  4.00
3 Cr 0.000 0.000 0.500  4.05
4 Cr 0.500 0.000 0.000  3.87
5 Li 0.000 0.000 0.000  0.09

Values from the calculation:
Its density is 4279 kg/m3. For the raw total energy, the calculation gives -0.37697 Ry/atom. The uncorrected formation energy comes out at 1.338 eV/atom. Its symmetry is Pm-3m, No. 221. The density of states at the Fermi level comes out at 0.5858 states/eV per atom.



Record 2
# Li2CrI

A geometry-optimized Li2CrI structure (PBE, Alexandria).

Lattice parameters (Å, degrees): 5.122 5.122 5.122 60.00 60.00 60.00
Each line ends with the local moment (μB).
Element x y z (fractional)
1 I 0.500 0.500 0.500  0.05
2 Cr 0.000 0.000 0.000  4.20
3 Li 0.250 0.250 0.250  0.01
4 Li 0.750 0.750 0.750  0.01

Values from the calculation:
Its density is 3369 kg/m3. For the raw total energy, the calculation gives -0.25503 Ry/atom. The uncorrected formation energy comes out at 0.280 eV/atom. Its symmetry is Fm-3m, No. 225. The density of states at the Fermi level comes out at 0.3774 states/eV per atom.